# 1
Material: YEr2Tm
Method: DFT, PBE
State: relaxed

Lattice parameters (Å, degrees): 6.1121 11.3943 7.0749 90.00 90.00 90.00
With the nearest neighbours (Å) after each atom.
Fractional positions:
Y: 0.0828 0.2500 0.1244  6 Er 3.50-3.52, 4 Tm 3.52-3.55, 2 Y 3.54
Y: 0.4172 0.7500 0.6244  6 Er 3.50-3.52, 4 Tm 3.52-3.55, 2 Y 3.54
Y: 0.5828 0.2500 0.3756  6 Er 3.50-3.52, 4 Tm 3.52-3.55, 2 Y 3.54
Y: 0.9172 0.7500 0.8756  6 Er 3.50-3.52, 4 Tm 3.52-3.55, 2 Y 3.54
Er: 0.2479 0.5009 0.3751  3 Tm 3.49-3.51, 3 Y 3.50-3.52, 6 Er 3.51-3.55
Er: 0.2479 0.9991 0.3751  3 Tm 3.49-3.51, 3 Y 3.50-3.52, 6 Er 3.51-3.55
Er: 0.2521 0.0009 0.8751  3 Tm 3.49-3.51, 3 Y 3.50-3.52, 6 Er 3.51-3.55
Er: 0.2521 0.4991 0.8751  3 Tm 3.49-3.51, 3 Y 3.50-3.52, 6 Er 3.51-3.55
Er: 0.7479 0.5009 0.1249  3 Tm 3.49-3.51, 3 Y 3.50-3.52, 6 Er 3.51-3.55
Er: 0.7479 0.9991 0.1249  3 Tm 3.49-3.51, 3 Y 3.50-3.52, 6 Er 3.51-3.55
Er: 0.7521 0.0009 0.6249  3 Tm 3.49-3.51, 3 Y 3.50-3.52, 6 Er 3.51-3.55
Er: 0.7521 0.4991 0.6249  3 Tm 3.49-3.51, 3 Y 3.50-3.52, 6 Er 3.51-3.55
Tm: 0.0843 0.2500 0.6258  6 Er 3.49-3.51, 4 Y 3.52-3.55, 2 Tm 3.53
Tm: 0.4157 0.7500 0.1258  6 Er 3.49-3.51, 4 Y 3.52-3.55, 2 Tm 3.53
Tm: 0.5843 0.2500 0.8742  6 Er 3.49-3.51, 4 Y 3.52-3.55, 2 Tm 3.53
Tm: 0.9157 0.7500 0.3742  6 Er 3.49-3.51, 4 Y 3.52-3.55, 2 Tm 3.53

Calculated values
theoretical density: 7.99 g/cm³
energy of formation from the pure elements: 0.01 eV/atom
energy relative to the lowest polymorph listed for this composition: 0 meV per atom



# 2
Material: Pu2GeOs
Method: DFT, PBE
State: relaxed

Lattice parameters (Å, degrees): 4.4138 4.4138 4.0623 90.00 90.00 90.00
With the nearest neighbours (Å) after each atom.
Fractional positions:
Pu: 0.0000 0.5000 0.0000  4 Os 3.00, 4 Ge 3.00, 4 Pu 3.12
Pu: 0.5000 0.0000 0.0000  4 Os 3.00, 4 Ge 3.00, 4 Pu 3.12
Ge: 0.0000 0.0000 0.5000  8 Pu 3.00, 4 Os 3.12
Os: 0.5000 0.5000 0.5000  8 Pu 3.00, 4 Ge 3.12

Calculated values
theoretical density: 15.76 g/cm³
energy of formation from the pure elements: -0.18 eV/atom



# 3
Material: Sc5InPd
Method: DFT, PBE
State: relaxed

Lattice parameters (Å, degrees): 5.9565 5.9565 9.3161 92.98 92.98 92.10
With the nearest neighbours (Å) after each atom.
Fractional positions:
Sc: 0.0639 0.6138 0.3422  1 Pd 2.71
Sc: 0.1319 0.8681 0.7500  2 Pd 2.59
Sc: 0.2234 0.4054 0.9943  1 Pd 2.72, 2 In 2.89-2.92, 1 Sc 2.93
Sc: 0.3862 0.9361 0.1578  1 Pd 2.71
Sc: 0.4054 0.2234 0.4943  1 Pd 2.72, 2 In 2.89-2.92, 1 Sc 2.93
Sc: 0.5946 0.7766 0.5057  1 Pd 2.72, 2 In 2.89-2.92, 1 Sc 2.93
Sc: 0.6138 0.0639 0.8422  1 Pd 2.71
Sc: 0.7766 0.5946 0.0057  1 Pd 2.72, 2 In 2.89-2.92, 1 Sc 2.93
Sc: 0.8681 0.1319 0.2500  2 Pd 2.59
Sc: 0.9361 0.3862 0.6578  1 Pd 2.71
In: 0.4724 0.5276 0.7500  7 Sc 2.89-3.07
In: 0.5276 0.4724 0.2500  7 Sc 2.89-3.07
Pd: 0.0000 0.0000 0.0000  6 Sc 2.59-2.72
Pd: 0.0000 0.0000 0.5000  6 Sc 2.59-2.72

Calculated values
theoretical density: 4.50 g/cm³
energy of formation from the pure elements: -0.24 eV/atom



# 4
Material: BaTeN2O
Method: DFT, PBE
State: relaxed

Lattice parameters (Å, degrees): 4.7433 4.7433 4.3475 90.00 90.00 90.00
With the nearest neighbours (Å) after each atom.
Fractional positions:
Ba: 0.0000 0.0000 0.0000  2 O 2.17, 4 N 2.37
Te: 0.5000 0.5000 0.5000  8 N 3.22, 4 O 3.35
N: 0.0000 0.5000 0.0000  2 Ba 2.37
N: 0.5000 0.0000 0.0000  2 Ba 2.37
O: 0.0000 0.0000 0.5000  2 Ba 2.17

Calculated values
theoretical density: 5.24 g/cm³
formation energy without anion corrections: 1.62 eV per atom



# 5
Material: Ba3AsI2
Method: DFT, PBE
State: relaxed

Lattice parameters (Å, degrees): 8.7154 8.7154 8.7154 147.74 133.23 57.95
With the nearest neighbours (Å) after each atom.
Fractional positions:
Ba: 0.0000 0.0000 0.0000  2 As 3.46, 4 I 3.60
Ba: 0.3596 0.3596 0.0000  2 As 3.23, 2 I 3.50
Ba: 0.6404 0.6404 0.0000  2 As 3.23, 2 I 3.50
As: 0.5000 0.0000 0.5000  6 Ba 3.23-3.46
I: 0.1745 0.6745 0.5000  6 Ba 3.50-3.72
I: 0.8255 0.3255 0.5000  6 Ba 3.50-3.72

Calculated values
theoretical density: 4.82 g/cm³
energy relative to the lowest polymorph listed for this composition: 19 meV per atom
formation energy without anion corrections: -1.42 eV per atom



# 6
Material: Tb7Dy2Ho2
Method: DFT, PBE
State: relaxed

Lattice parameters (Å, degrees): 7.9840 7.9840 6.0191 105.89 105.89 91.07
With the nearest neighbours (Å) after each atom.
Fractional positions:
Tb: 0.0000 0.0000 0.0000  6 Tb 3.25-3.47
Tb: 0.0593 0.5889 0.8241  4 Tb 3.18-3.54, 2 Ho 3.27-3.42
Tb: 0.2306 0.2306 0.5874  5 Tb 3.33-3.54, 3 Dy 3.44-3.67, 2 Ho 3.46
Tb: 0.4111 0.9407 0.1759  4 Tb 3.18-3.54, 2 Ho 3.27-3.42
Tb: 0.5889 0.0593 0.8241  4 Tb 3.18-3.54, 2 Ho 3.27-3.42
Tb: 0.7694 0.7694 0.4126  5 Tb 3.33-3.54, 3 Dy 3.44-3.67, 2 Ho 3.46
Tb: 0.9407 0.4111 0.1759  4 Tb 3.18-3.54, 2 Ho 3.27-3.42
Dy: 0.4143 0.4143 0.1978  2 Dy 3.39-3.59, 7 Tb 3.44-3.75, 2 Ho 3.64
Dy: 0.5857 0.5857 0.8022  2 Dy 3.39-3.59, 7 Tb 3.44-3.75, 2 Ho 3.64
Ho: 0.2170 0.7830 0.5000  6 Tb 3.27-3.46, 2 Dy 3.64
Ho: 0.7830 0.2170 0.5000  6 Tb 3.27-3.46, 2 Dy 3.64

Calculated values
theoretical density: 8.31 g/cm³
energy of formation from the pure elements: 0.16 eV/atom
energy relative to the lowest polymorph listed for this composition: 46 meV per atom



# 7
Material: PaMoS2
Method: DFT, PBE
State: relaxed

Lattice parameters (Å, degrees): 9.0663 9.0663 9.0663 20.02 20.02 20.02
With the nearest neighbours (Å) after each atom.
Fractional positions:
Pa: 0.0000 0.0000 0.0000  2 S 2.80
Mo: 0.5000 0.5000 0.5000  6 S 2.45
S: 0.1050 0.1050 0.1050  3 Mo 2.45
S: 0.8950 0.8950 0.8950  3 Mo 2.45

Calculated values
theoretical density: 8.50 g/cm³
energy relative to the lowest polymorph listed for this composition: 339 meV per atom
formation energy without anion corrections: -0.45 eV per atom



# 8
Material: Tl4Au3
Method: DFT, PBE
State: relaxed

Lattice parameters (Å, degrees): 14.1956 14.1956 14.1956 165.56 165.56 20.48
With the nearest neighbours (Å) after each atom.
Fractional positions:
Tl: 0.0659 0.0659 0.0000  4 Au 3.12
Tl: 0.3400 0.3400 0.0000  5 Au 3.11-3.21
Tl: 0.6600 0.6600 0.0000  5 Au 3.11-3.21
Tl: 0.9341 0.9341 0.0000  4 Au 3.12
Au: 0.2250 0.2250 0.0000  4 Au 2.89, 5 Tl 3.11-3.21
Au: 0.5000 0.5000 0.0000  8 Tl 3.12
Au: 0.7750 0.7750 0.0000  4 Au 2.89, 5 Tl 3.11-3.21

Calculated values
theoretical density: 13.14 g/cm³
energy of formation from the pure elements: -0.01 eV/atom
energy relative to the lowest polymorph listed for this composition: 26 meV per atom



# 9
Material: Ni2AgAuN
Method: DFT, PBE
State: relaxed

Lattice parameters (Å, degrees): 3.8312 3.8312 4.4144 90.00 90.00 90.00
With the nearest neighbours (Å) after each atom.
Fractional positions:
Ni: 0.0000 0.5000 0.0000  2 N 1.92
Ni: 0.5000 0.0000 0.0000  2 N 1.92
Ag: 0.0000 0.0000 0.5000  2 N 2.21
Au: 0.5000 0.5000 0.5000  4 Ag 2.71, 8 Ni 2.92
N: 0.0000 0.0000 0.0000  4 Ni 1.92

Calculated values
theoretical density: 11.18 g/cm³
formation energy without anion corrections: 0.22 eV per atom



# 10
Material: LaY3Tl3
Method: DFT, PBE
State: relaxed

Lattice parameters (Å, degrees): 9.4716 9.4716 9.4716 90.00 90.00 90.00
With the nearest neighbours (Å) after each atom.
Fractional positions:
La: 0.0698 0.4302 0.5698  6 Tl 3.23-3.47, 3 Y 3.60
La: 0.4302 0.5698 0.0698  6 Tl 3.23-3.47, 3 Y 3.60
La: 0.5698 0.0698 0.4302  6 Tl 3.23-3.47, 3 Y 3.60
La: 0.9302 0.9302 0.9302  6 Tl 3.23-3.47, 3 Y 3.60
Y: 0.0830 0.5830 0.9170  6 Tl 3.15-3.44
Y: 0.1788 0.1788 0.1788  6 Tl 3.16-3.33
Y: 0.1817 0.8183 0.3183  6 Tl 3.17-3.32
Y: 0.3183 0.1817 0.8183  6 Tl 3.17-3.32
Y: 0.3212 0.8212 0.6788  6 Tl 3.16-3.33
Y: 0.4170 0.4170 0.4170  6 Tl 3.15-3.44
Y: 0.5830 0.9170 0.0830  6 Tl 3.15-3.44
Y: 0.6788 0.3212 0.8212  6 Tl 3.16-3.33
Y: 0.6817 0.6817 0.6817  6 Tl 3.17-3.32
Y: 0.8183 0.3183 0.1817  6 Tl 3.17-3.32
Y: 0.8212 0.6788 0.3212  6 Tl 3.16-3.33
Y: 0.9170 0.0830 0.5830  6 Tl 3.15-3.44
Tl: 0.0004 0.2617 0.8876  6 Y 3.15-3.44, 2 La 3.23-3.47
Tl: 0.9996 0.7617 0.6124  6 Y 3.15-3.44, 2 La 3.23-3.47
Tl: 0.1124 0.5004 0.2383  6 Y 3.15-3.44, 2 La 3.23-3.47
Tl: 0.2383 0.1124 0.5004  6 Y 3.15-3.44, 2 La 3.23-3.47
Tl: 0.2617 0.8876 0.0004  6 Y 3.15-3.44, 2 La 3.23-3.47
Tl: 0.3876 0.4996 0.7383  6 Y 3.15-3.44, 2 La 3.23-3.47
Tl: 0.5004 0.2383 0.1124  6 Y 3.15-3.44, 2 La 3.23-3.47
Tl: 0.4996 0.7383 0.3876  6 Y 3.15-3.44, 2 La 3.23-3.47
Tl: 0.6124 0.9996 0.7617  6 Y 3.15-3.44, 2 La 3.23-3.47
Tl: 0.7383 0.3876 0.4996  6 Y 3.15-3.44, 2 La 3.23-3.47
Tl: 0.7617 0.6124 0.9996  6 Y 3.15-3.44, 2 La 3.23-3.47
Tl: 0.8876 0.0004 0.2617  6 Y 3.15-3.44, 2 La 3.23-3.47

Calculated values
theoretical density: 7.96 g/cm³
energy of formation from the pure elements: -0.30 eV/atom



# 11
Material: K3TbHo3Se8
Method: DFT, PBE
State: relaxed

Lattice parameters (Å, degrees): 8.2875 8.2875 9.1919 116.83 116.83 59.96
With the nearest neighbours (Å) after each atom.
Fractional positions:
K: 0.0000 0.0000 0.0000  6 Se 3.33-3.35
K: 0.0000 0.5000 0.0000  6 Se 3.33-3.35
K: 0.5000 0.0000 0.0000  6 Se 3.33-3.35
Tb: 0.0000 0.0000 0.5000  6 Se 2.89
Ho: 0.0000 0.5000 0.5000  6 Se 2.86-2.88
Ho: 0.5000 0.0000 0.5000  6 Se 2.86-2.88
Ho: 0.5000 0.5000 0.5000  6 Se 2.86-2.88
Se: 0.2357 0.2357 0.7026  2 Ho 2.86, 1 Tb 2.89
Se: 0.2358 0.7312 0.7027  2 Ho 2.86, 1 Tb 2.89
Se: 0.2652 0.2652 0.2957  3 Ho 2.88
Se: 0.2688 0.7642 0.2973  2 Ho 2.86, 1 Tb 2.89
Se: 0.7312 0.2358 0.7027  2 Ho 2.86, 1 Tb 2.89
Se: 0.7348 0.7348 0.7043  3 Ho 2.88
Se: 0.7642 0.2688 0.2973  2 Ho 2.86, 1 Tb 2.89
Se: 0.7643 0.7643 0.2974  2 Ho 2.86, 1 Tb 2.89

Calculated values
theoretical density: 4.99 g/cm³
formation energy without anion corrections: -1.68 eV per atom



# 12
Material: Sb2TePb
Method: DFT, PBE
State: relaxed

Lattice parameters (Å, degrees): 3.8102 5.4509 5.5853 90.00 90.00 90.00
With the nearest neighbours (Å) after each atom.
Fractional positions:
Sb: 0.0000 0.0000 0.0000  4 Sb 3.33, 4 Pb 3.38
Sb: 0.5000 0.5000 0.0000  4 Sb 3.33, 4 Te 3.38
Te: 0.0000 0.5000 0.5000  4 Pb 3.33, 4 Sb 3.38
Pb: 0.5000 0.0000 0.5000  4 Te 3.33, 4 Sb 3.38

Calculated values
theoretical density: 8.28 g/cm³
energy relative to the lowest polymorph listed for this composition: 252 meV per atom
formation energy without anion corrections: 0.11 eV per atom